First-principles (PBE-GGA) data for a geometry-optimized Mn2BeCr structure, as listed in Alexandria.

a b c (Å): 2.4763 2.4763 23.7307
angles (deg): 90.00 90.00 120.00
Space group R-3m (No. 166, hexagonal axes)
One atom of each set of equivalent atoms:
Mn 0.0000 0.0000 0.2472
Be 0.0000 0.0000 0.5000
Cr 0.0000 0.0000 0.0000

Output
Raw total energy (eV per atom): -7.77
Energy of formation (eV/atom): 0.157
M_tot (μB/f.u.): 0.3

***

First-principles (PBE-GGA) data for a geometry-optimized Mn5Be2CrMo2 structure, as listed in Alexandria.

a b c (Å): 8.6858 8.6858 2.9864
angles (deg): 90.00 90.00 90.00
Space group P4/mbm (No. 127)
One atom of each set of equivalent atoms:
Mn 0.0000 0.5000 0.0000
Mn 0.0673 0.2045 0.0000
Be 0.1241 0.3759 0.5000
Cr 0.0000 0.0000 0.5000
Mo 0.1724 0.6724 0.5000

Output
Raw total energy (eV per atom): -8.46
Energy of formation (eV/atom): 0.002
M_tot (μB/f.u.): 3.5

***

First-principles (PBE-GGA) data for a geometry-optimized MnBeCrMo structure, as listed in Alexandria.

a b c (Å): 5.7932 5.7932 5.7932
angles (deg): 90.00 90.00 90.00
Space group F-43m (No. 216)
One atom of each set of equivalent atoms:
Mn 0.0000 0.0000 0.0000
Be 0.2500 0.2500 0.2500
Cr 0.0000 0.0000 0.5000
Mo 0.2500 0.2500 0.7500

Output
Raw total energy (eV per atom): -8.28
Energy of formation (eV/atom): 0.056
M_tot (μB/f.u.): 2.9

***

First-principles (PBE-GGA) data for a geometry-optimized Mn5Be2Nb2Cr structure, as listed in Alexandria.

a b c (Å): 8.8082 8.8082 3.0606
angles (deg): 90.00 90.00 90.00
Space group P4/mbm (No. 127)
One atom of each set of equivalent atoms:
Mn 0.0000 0.5000 0.0000
Mn 0.0660 0.2040 0.0000
Be 0.1248 0.3752 0.5000
Nb 0.1714 0.6714 0.5000
Cr 0.0000 0.0000 0.5000

Output
Raw total energy (eV per atom): -8.38
Energy of formation (eV/atom): -0.078
M_tot (μB/f.u.): 4.6

***

First-principles (PBE-GGA) data for a geometry-optimized Mn2BeCrPb structure, as listed in Alexandria.

a b c (Å): 4.3282 4.3282 5.0096
angles (deg): 90.00 90.00 90.00
Space group P4/mmm (No. 123)
One atom of each set of equivalent atoms:
Mn 0.0000 0.5000 0.0000
Be 0.0000 0.0000 0.5000
Cr 0.5000 0.5000 0.0000
Pb 0.5000 0.5000 0.5000

Output
Raw total energy (eV per atom): -5.78
Energy of formation (eV/atom): 1.301
M_tot (μB/f.u.): 4.4

***

First-principles (PBE-GGA) data for a geometry-optimized Mn5BeCr2Re2 structure, as listed in Alexandria.

a b c (Å): 9.1077 9.1077 2.8186
angles (deg): 90.00 90.00 90.00
Space group P4/mbm (No. 127)
One atom of each set of equivalent atoms:
Mn 0.0000 0.5000 0.0000
Mn 0.0514 0.1871 0.0000
Be 0.0000 0.0000 0.5000
Cr 0.1364 0.3636 0.5000
Re 0.1758 0.6758 0.5000

Output
Raw total energy (eV per atom): -9.12
Energy of formation (eV/atom): 0.254
M_tot (μB/f.u.): 0.0

***

First-principles (PBE-GGA) data for a geometry-optimized MnBeCrRe structure, as listed in Alexandria.

a b c (Å): 5.7404 5.7404 5.7404
angles (deg): 90.00 90.00 90.00
Space group F-43m (No. 216)
One atom of each set of equivalent atoms:
Mn 0.0000 0.0000 0.0000
Be 0.2500 0.2500 0.7500
Cr 0.0000 0.0000 0.5000
Re 0.2500 0.2500 0.2500

Output
Raw total energy (eV per atom): -8.72
Energy of formation (eV/atom): 0.026
M_tot (μB/f.u.): 2.0

***

First-principles (PBE-GGA) data for a geometry-optimized MnBeCrRh structure, as listed in Alexandria.

a b c (Å): 5.6653 5.6653 5.6653
angles (deg): 90.00 90.00 90.00
Space group F-43m (No. 216)
One atom of each set of equivalent atoms:
Mn 0.0000 0.0000 0.0000
Be 0.2500 0.2500 0.2500
Cr 0.2500 0.2500 0.7500
Rh 0.0000 0.0000 0.5000

Output
Raw total energy (eV per atom): -7.59
Energy of formation (eV/atom): -0.124
M_tot (μB/f.u.): 0.0

***

First-principles (PBE-GGA) data for a geometry-optimized Mn5BeCr2Ru2 structure, as listed in Alexandria.

a b c (Å): 9.0369 9.0369 2.8295
angles (deg): 90.00 90.00 90.00
Space group P4/mbm (No. 127)
One atom of each set of equivalent atoms:
Mn 0.0000 0.5000 0.0000
Mn 0.0591 0.1825 0.0000
Be 0.0000 0.0000 0.5000
Cr 0.1342 0.3658 0.5000
Ru 0.1736 0.6736 0.5000

Output
Raw total energy (eV per atom): -8.47
Energy of formation (eV/atom): 0.269
M_tot (μB/f.u.): 0.0

***

First-principles (PBE-GGA) data for a geometry-optimized Mn5Be2Cr2Si structure, as listed in Alexandria.

a b c (Å): 8.6531 8.6531 2.9503
angles (deg): 90.00 90.00 90.00
Space group P4/mbm (No. 127)
One atom of each set of equivalent atoms:
Mn 0.0000 0.5000 0.0000
Mn 0.0692 0.2033 0.0000
Be 0.1277 0.3723 0.5000
Cr 0.1694 0.6694 0.5000
Si 0.0000 0.0000 0.5000

Output
Raw total energy (eV per atom): -7.80
M_tot (μB/f.u.): 4.1
Formation energy from raw total energies (eV/atom): -0.006

***

First-principles (PBE-GGA) data for a geometry-optimized SrMnBeCr2 structure, as listed in Alexandria.

a b c (Å): 4.5879 4.5879 4.5244
angles (deg): 90.00 90.00 90.00
Space group P4/mmm (No. 123)
One atom of each set of equivalent atoms:
Sr 0.0000 0.0000 0.0000
Mn 0.5000 0.5000 0.0000
Be 0.5000 0.5000 0.5000
Cr 0.0000 0.5000 0.5000

Output
Raw total energy (eV per atom): -5.94
Energy of formation (eV/atom): 0.828
M_tot (μB/f.u.): 11.0

***

First-principles (PBE-GGA) data for a geometry-optimized Mn5Be2CrTc2 structure, as listed in Alexandria.

a b c (Å): 8.6804 8.6804 2.8993
angles (deg): 90.00 90.00 90.00
Space group P4/mbm (No. 127)
One atom of each set of equivalent atoms:
Mn 0.0000 0.5000 0.0000
Mn 0.0639 0.2037 0.0000
Be 0.1253 0.3747 0.5000
Cr 0.0000 0.0000 0.5000
Tc 0.1738 0.6738 0.5000

Output
Raw total energy (eV per atom): -8.33
Energy of formation (eV/atom): 0.032
M_tot (μB/f.u.): 2.1